No. 1
# PBE AlTe4Pt, optimized geometry
data_AlTe4Pt
_chemical_formula_sum 'Al2 Te8 Pt2'
_cell_length_a 13.196
_cell_length_b 4.093
_cell_length_c 6.986
_cell_angle_alpha 90.00
_cell_angle_beta 121.46
_cell_angle_gamma 90.00
_symmetry_space_group_name_H-M 'C 1 2/m 1'
_symmetry_Int_Tables_number 12
loop_
_symmetry_equiv_pos_as_xyz
'x,y,z'
'-x,-y,-z'
'-x,y,-z'
'x,-y,z'
'x+1/2,y+1/2,z'
'-x+1/2,-y+1/2,-z'
'-x+1/2,y+1/2,-z'
'x+1/2,-y+1/2,z'
loop_
_atom_site_label
_atom_site_type_symbol
_atom_site_fract_x
_atom_site_fract_y
_atom_site_fract_z
Al1 Al 0.000 0.000 0.000
Te1 Te 0.127 0.000 0.466
Te2 Te 0.132 0.500 0.957
Pt1 Pt 0.000 0.500 0.500
# - Electronic total energy: -4.066 eV/atom
# - Magnetization: 0.00 μB/cell
# - DOS at the Fermi energy: 0.53 states/eV/atom

No. 2
# PBE BaRe2Ag, optimized geometry
data_BaRe2Ag
_chemical_formula_sum 'Ba2 Re4 Ag2'
_cell_length_a 2.883
_cell_length_b 5.015
_cell_length_c 11.322
_cell_angle_alpha 90.00
_cell_angle_beta 90.00
_cell_angle_gamma 90.00
_symmetry_space_group_name_H-M 'I m m m'
_symmetry_Int_Tables_number 71
_symmetry_space_group_name_Hall '-I 2 2'
loop_
_atom_site_label
_atom_site_type_symbol
_atom_site_fract_x
_atom_site_fract_y
_atom_site_fract_z
Ba1 Ba 0.000 0.000 0.000
Re1 Re 0.000 0.500 0.227
Ag1 Ag 0.000 0.000 0.500
# - Energy of formation from the pure elements: 4.71 eV per formula unit
# - Magnetization: 0.00 μB/cell
# - DOS at the Fermi energy: 0.96 states/eV/atom